Density functional theory data (PBE) for a relaxed structure of Ce2Dy3Se6.

- electronic total energy (eV per atom) = -6.085
- space group = C2/m, No. 12
- energy relative to the elements, uncorrected (eV per atom) = -1.851

abc: 7.1066 7.0984 7.2058
angles: 80.52 70.78 59.96
With the nearest neighbours (Å) after each atom.
Element x y z (fractional)
Ce  0.1661  0.6678  0.5000  6 Se 2.95-2.96
Ce  0.8339  0.3322  0.5000  6 Se 2.95-2.96
Dy  0.0000  0.0000  0.0000  6 Se 2.87-2.93
Dy  0.3345  0.3311  0.0000  6 Se 2.87-2.92
Dy  0.6655  0.6689  0.0000  6 Se 2.87-2.92
Se  0.4140  0.6710  0.7580  3 Dy 2.87-2.92, 2 Ce 2.96
Se  0.7428  0.0000  0.7555  3 Dy 2.87-2.93, 2 Ce 2.95
Se  0.0850  0.3290  0.7580  3 Dy 2.87-2.92, 2 Ce 2.96
Se  0.2572  0.0000  0.2445  3 Dy 2.87-2.93, 2 Ce 2.95
Se  0.5860  0.3290  0.2420  3 Dy 2.87-2.92, 2 Ce 2.96
Se  0.9150  0.6710  0.2420  3 Dy 2.87-2.92, 2 Ce 2.96

---

Density functional theory data (PBE) for a relaxed structure of CeDySe2.

- electronic total energy (eV per atom) = -6.177
- offset from the most stable computed form (meV/atom) = 0
- space group = P2/c, No. 13
- energy relative to the elements, uncorrected (eV per atom) = -1.801

abc: 5.8565 5.8572 11.7182
angles: 89.99 90.00 90.00
With the nearest neighbours (Å) after each atom.
Element x y z (fractional)
Ce  0.2507  0.0004  0.3751  6 Se 2.93-2.98
Ce  0.7493  0.9996  0.6249  6 Se 2.93-2.98
Ce  0.2507  0.4996  0.1249  6 Se 2.93-2.98
Ce  0.7493  0.5004  0.8751  6 Se 2.93-2.98
Dy  0.2489  0.5004  0.6249  6 Se 2.88-2.93
Dy  0.7511  0.4996  0.3751  6 Se 2.88-2.93
Dy  0.2489  0.9996  0.8751  6 Se 2.88-2.93
Dy  0.7511  0.0004  0.1249  6 Se 2.88-2.93
Se  0.7490  0.0005  0.8791  3 Dy 2.88-2.93, 3 Ce 2.93-2.98
Se  0.2510  0.9995  0.1209  3 Dy 2.88-2.93, 3 Ce 2.93-2.98
Se  0.7490  0.4995  0.6209  3 Dy 2.88-2.93, 3 Ce 2.93-2.98
Se  0.2510  0.5005  0.3791  3 Dy 2.88-2.93, 3 Ce 2.93-2.98
Se  0.7508  0.5002  0.1292  3 Dy 2.88-2.93, 3 Ce 2.93-2.98
Se  0.2492  0.4998  0.8708  3 Dy 2.88-2.93, 3 Ce 2.93-2.98
Se  0.7508  0.9998  0.3708  3 Dy 2.88-2.93, 3 Ce 2.93-2.98
Se  0.2492  0.0002  0.6292  3 Dy 2.88-2.93, 3 Ce 2.93-2.98

---

Density functional theory data (PBE) for a relaxed structure of Ce2DySe3.

- electronic total energy (eV per atom) = -6.286
- offset from the most stable computed form (meV/atom) = 0
- space group = Immm, No. 71
- energy relative to the elements, uncorrected (eV per atom) = -1.799

abc: 5.8838 8.2730 7.2254
angles: 106.63 114.03 90.00
With the nearest neighbours (Å) after each atom.
Element x y z (fractional)
Ce  0.6685  0.5842  0.3370  6 Se 2.94-2.98
Ce  0.6685  0.0842  0.3370  6 Se 2.94-2.98
Ce  0.3315  0.9158  0.6630  6 Se 2.94-2.98
Ce  0.3315  0.4158  0.6630  6 Se 2.94-2.98
Dy  0.0000  0.7500  0.0000  6 Se 2.88-2.94
Dy  0.0000  0.2500  0.0000  6 Se 2.88-2.94
Se  0.5000  0.2500  0.0000  2 Dy 2.94, 4 Ce 2.96
Se  0.5000  0.7500  0.0000  2 Dy 2.94, 4 Ce 2.96
Se  0.1605  0.0802  0.3209  2 Dy 2.88, 4 Ce 2.94-2.98
Se  0.8396  0.4198  0.6791  2 Dy 2.88, 4 Ce 2.94-2.98
Se  0.1604  0.5802  0.3209  2 Dy 2.88, 4 Ce 2.94-2.98
Se  0.8395  0.9198  0.6791  2 Dy 2.88, 4 Ce 2.94-2.98

---

Density functional theory data (PBE) for a relaxed structure of CeDySe2.

- electronic total energy (eV per atom) = -6.101
- offset from the most stable computed form (meV/atom) = 77
- space group = R3m, No. 160
- energy relative to the elements, uncorrected (eV per atom) = -1.725

abc: 4.0007 4.0007 7.7069
angles: 74.96 74.96 60.00
With the nearest neighbours (Å) after each atom.
Element x y z (fractional)
Ce  0.6711  0.6711  0.9866  6 Se 2.93-3.05
Dy  0.4957  0.4957  0.5130  6 Se 2.86-2.97
Se  0.0861  0.0861  0.7418  3 Dy 2.86, 3 Ce 2.93
Se  0.2471  0.2471  0.2586  3 Dy 2.97, 3 Ce 3.05

---

- What is the energy relative to the elements, uncorrected in the second record?
  -1.801 eV per atom